Record 1
YFeN3 | PBE | optimized geometry

abc: 4.2819 4.2819 4.2819
angles: 90.00 90.00 90.00
Atoms (fractional coordinates):
Y 0.0000 0.0000 0.0000
Fe 0.5000 0.5000 0.5000
N 0.0000 0.5000 0.0000
N 0.5000 0.0000 0.0000
N 0.0000 0.0000 0.5000

uncorrected formation energy	8.7	eV/f.u.
magnetic moment	3.3	Bohr magnetons per cell
theoretical density	3.95	Mg/m³
crystal system	cubic

---

Record 2
SrBeCo2 | PBE | optimized geometry

abc: 5.3191 5.3191 5.3191
angles: 147.15 124.95 65.61
Atoms (fractional coordinates):
Sr 0.4986 0.4986 0.0000
Be 0.1948 0.6948 0.5000
Co 0.0069 0.0069 0.0000
Co 0.7997 0.2997 0.5000

DFT formation energy	0.662	eV per atom
magnetic moment	2.5	Bohr magnetons per cell
theoretical density	5.39	Mg/m³
crystal system	orthorhombic

---

Record 3
ErZnAgPd | PBE | optimized geometry

abc: 4.7315 4.7315 4.7315
angles: 60.00 60.00 60.00
Atoms (fractional coordinates):
Zn 0.0000 0.0000 0.0000
Er 0.5000 0.5000 0.5000
Ag 0.7500 0.7500 0.7500
Pd 0.2500 0.2500 0.2500

DFT formation energy	-0.471	eV per atom
magnetic moment	0.0	Bohr magnetons per cell
theoretical density	9.91	Mg/m³
crystal system	cubic

---

Record 4
Ag2Pd2Au | PBE | optimized geometry

abc: 3.6648 3.6648 7.4573
angles: 75.78 75.78 90.00
Atoms (fractional coordinates):
Pd 0.7500 0.2500 0.5000
Ag 0.4023 0.4023 0.1954
Ag 0.5977 0.5977 0.8046
Au 0.0000 0.0000 0.0000
Pd 0.2500 0.7500 0.5000

DFT formation energy	0.253	eV per atom
distance to the lowest polymorph of the same formula	252.9	meV/atom
magnetic moment	0.0	Bohr magnetons per cell
theoretical density	11.06	Mg/m³
crystal system	tetragonal

---

Record 5
PuSc12In3 | PBE | optimized geometry

abc: 4.5462 4.5462 18.1529
angles: 90.00 90.00 90.00
Atoms (fractional coordinates):
Sc 0.5000 0.0000 0.8745
Sc 0.0000 0.5000 0.6246
In 0.0000 0.0000 0.5000
In 0.0000 0.0000 0.2518
Sc 0.0000 0.5000 0.3754
Sc 0.5000 0.0000 0.3754
Sc 0.5000 0.5000 0.2529
Pu 0.0000 0.0000 0.0000
Sc 0.5000 0.5000 0.7471
Sc 0.5000 0.0000 0.6246
Sc 0.5000 0.0000 0.1255
Sc 0.5000 0.5000 0.0000
In 0.0000 0.0000 0.7482
Sc 0.5000 0.5000 0.5000
Sc 0.0000 0.5000 0.1255
Sc 0.0000 0.5000 0.8745

DFT formation energy	-0.182	eV per atom
magnetic moment	4.9	Bohr magnetons per cell
theoretical density	4.99	Mg/m³
crystal system	tetragonal

---

Record 6
CuP2Rh2 | PBE | optimized geometry

abc: 3.6617 3.6617 6.2015
angles: 72.83 72.83 90.00
Atoms (fractional coordinates):
Rh 0.3781 0.3781 0.2438
P 0.2500 0.7500 0.5000
Cu 0.0000 0.0000 0.0000
P 0.7500 0.2500 0.5000
Rh 0.6219 0.6219 0.7562

DFT formation energy	-0.107	eV per atom
distance to the lowest polymorph of the same formula	78.8	meV/atom
magnetic moment	0.0	Bohr magnetons per cell
theoretical density	7.28	Mg/m³
crystal system	tetragonal

---

Record 7
ZrZn2Pt | PBE | optimized geometry

abc: 3.1994 3.1994 6.5011
angles: 90.00 90.00 90.00
Atoms (fractional coordinates):
Pt 0.5000 0.5000 0.7500
Zn 0.0000 0.0000 0.9645
Zn 0.0000 0.0000 0.5355
Zr 0.5000 0.5000 0.2500

DFT formation energy	-0.416	eV per atom
magnetic moment	0.0	Bohr magnetons per cell
theoretical density	10.41	Mg/m³
crystal system	tetragonal

---

Record 8
TlCd2Cu | PBE | optimized geometry

abc: 5.4408 5.4408 5.4408
angles: 132.58 132.58 69.31
Atoms (fractional coordinates):
Cd 0.0000 0.0000 0.0000
Cd 0.5000 0.5000 0.0000
Tl 0.7500 0.2500 0.5000
Cu 0.2500 0.7500 0.5000

DFT formation energy	0.208	eV per atom
distance to the lowest polymorph of the same formula	121.0	meV/atom
magnetic moment	0.0	Bohr magnetons per cell
theoretical density	9.55	Mg/m³
crystal system	tetragonal

---

Record 9
LiInCl3 | PBE | optimized geometry

abc: 5.3842 5.3842 5.3842
angles: 90.00 90.00 90.00
Atoms (fractional coordinates):
Cl 0.5000 0.0000 0.0000
In 0.0000 0.0000 0.0000
Li 0.5000 0.5000 0.5000
Cl 0.0000 0.5000 0.0000
Cl 0.0000 0.0000 0.5000

uncorrected formation energy	-4.9	eV/f.u.
magnetic moment	0.0	Bohr magnetons per cell
theoretical density	2.43	Mg/m³
crystal system	cubic

---

Record 10
AcAlPdAu | PBE | optimized geometry

abc: 4.4227 4.4227 6.2115
angles: 69.14 69.14 60.00
Atoms (fractional coordinates):
Ac 0.8177 0.8177 0.5468
Al 0.6220 0.6220 0.1341
Au 0.0176 0.0176 0.9473
Pd 0.2686 0.2686 0.1942

DFT formation energy	-0.697	eV per atom
magnetic moment	0.0	Bohr magnetons per cell
theoretical density	9.65	Mg/m³
crystal system	trigonal

---

Record 11
LiPaSbPd | PBE | optimized geometry

abc: 4.9625 4.9625 4.9625
angles: 60.00 60.00 60.00
Atoms (fractional coordinates):
Sb 0.5000 0.5000 0.5000
Pd 0.0000 0.0000 0.0000
Pa 0.2500 0.2500 0.2500
Li 0.7500 0.7500 0.7500

uncorrected formation energy	-1.6	eV/f.u.
magnetic moment	0.7	Bohr magnetons per cell
theoretical density	8.96	Mg/m³
crystal system	cubic

---

Record 12
Dy4Al3Ag | PBE | optimized geometry

abc: 3.5770 3.5770 14.7107
angles: 90.00 90.00 90.00
Atoms (fractional coordinates):
Dy 0.0000 0.0000 0.8712
Al 0.5000 0.5000 0.2522
Ag 0.5000 0.5000 0.0000
Dy 0.0000 0.0000 0.1288
Dy 0.0000 0.0000 0.3770
Al 0.5000 0.5000 0.7478
Al 0.5000 0.5000 0.5000
Dy 0.0000 0.0000 0.6230

DFT formation energy	-0.377	eV per atom
distance to the lowest polymorph of the same formula	0.0	meV/atom
magnetic moment	0.0	Bohr magnetons per cell
theoretical density	7.40	Mg/m³
crystal system	tetragonal

---

Record 13
DyAlZn3 | PBE | optimized geometry

abc: 4.6525 5.7547 8.0097
angles: 90.00 90.00 90.00
Atoms (fractional coordinates):
Al 0.0000 0.0000 0.5000
Zn 0.0000 0.2495 0.2498
Zn 0.0000 0.2505 0.7498
Dy 0.5000 0.0000 0.0000
Zn 0.0000 0.7505 0.7502
Zn 0.5000 0.5000 0.0000
Dy 0.5000 0.5000 0.5000
Zn 0.0000 0.7495 0.2502
Zn 0.5000 0.0000 0.5000
Al 0.0000 0.5000 0.0000

DFT formation energy	0.121	eV per atom
distance to the lowest polymorph of the same formula	438.9	meV/atom
magnetic moment	0.0	Bohr magnetons per cell
theoretical density	5.97	Mg/m³
crystal system	orthorhombic

---

Record 14
Tl2Se | PBE | optimized geometry

abc: 7.0234 7.0234 7.6749
angles: 73.90 73.90 31.81
Atoms (fractional coordinates):
Tl 0.0056 0.0056 0.5465
Se 0.6534 0.6534 0.7144
Tl 0.2721 0.2721 0.3980
Tl 0.0053 0.0053 0.0338
Se 0.6244 0.6244 0.2300
Tl 0.2725 0.2725 0.9107

uncorrected formation energy	-0.9	eV/f.u.
distance to the lowest polymorph of the same formula	63.0	meV/atom
magnetic moment	0.0	Bohr magnetons per cell
theoretical density	8.48	Mg/m³
crystal system	monoclinic

---

Record 15
Cu2TcAs | PBE | optimized geometry

abc: 4.7365 4.7365 4.7365
angles: 134.05 134.05 67.01
Atoms (fractional coordinates):
Cu 0.2500 0.7500 0.5000
Tc 0.5000 0.5000 0.0000
As 0.7500 0.2500 0.5000
Cu 0.0000 0.0000 0.0000

DFT formation energy	0.165	eV per atom
magnetic moment	0.1	Bohr magnetons per cell
theoretical density	9.22	Mg/m³
crystal system	tetragonal

---

Record 16
Rb2SeF7 | PBE | optimized geometry

abc: 6.4142 6.4142 6.4154
angles: 60.01 60.01 90.00
Atoms (fractional coordinates):
F 0.7890 0.7890 0.0000
F 0.5000 0.5000 0.0000
Rb 0.7500 0.2500 0.5000
F 0.2110 0.2110 0.0000
F 0.2109 0.2109 0.5782
F 0.7891 0.7891 0.4218
Rb 0.2500 0.7500 0.5000
Se 0.0000 0.0000 0.0000
F 0.2110 0.7890 0.0000
F 0.7890 0.2110 0.0000

uncorrected formation energy	-20.0	eV/f.u.
distance to the lowest polymorph of the same formula	30.8	meV/atom
magnetic moment	1.0	Bohr magnetons per cell
theoretical density	3.41	Mg/m³
crystal system	cubic

---

Record 17
Ac2MgSi3 | PBE | optimized geometry

abc: 6.3674 6.3674 8.8120
angles: 112.79 112.79 85.86
Atoms (fractional coordinates):
Ac 0.7576 0.7576 0.0000
Si 0.1615 0.1615 0.3231
Si 0.8384 0.3224 0.1608
Ac 0.2424 0.2424 0.0000
Si 0.8385 0.8385 0.6769
Mg 0.3349 0.3349 0.6698
Si 0.6776 0.1616 0.8392
Ac 0.2500 0.7500 0.5000
Ac 0.7500 0.2500 0.5000
Si 0.1616 0.6776 0.8392
Mg 0.6651 0.6651 0.3302
Si 0.3224 0.8384 0.1608

uncorrected formation energy	-3.0	eV/f.u.
magnetic moment	0.0	Bohr magnetons per cell
theoretical density	6.18	Mg/m³
crystal system	orthorhombic

---

Record 18
Tm3B | PBE | optimized geometry

abc: 3.3781 5.7510 6.0645
angles: 118.30 106.17 90.00
Atoms (fractional coordinates):
Tm 0.5000 0.3608 0.0000
Tm 0.3226 0.7093 0.6452
Tm 0.6774 0.0641 0.3548
B 0.0000 0.0324 0.0000

DFT formation energy	0.080	eV per atom
magnetic moment	0.0	Bohr magnetons per cell
theoretical density	8.73	Mg/m³
crystal system	orthorhombic

---

Record 19
Tl2In4Pb | PBE | optimized geometry

abc: 3.2980 9.0121 8.6052
angles: 55.52 78.95 79.46
Atoms (fractional coordinates):
Tl 0.2245 0.8405 0.7105
Tl 0.7755 0.1595 0.2895
Pb 0.0000 0.0000 0.0000
In 0.6309 0.5955 0.1427
In 0.9242 0.7010 0.4507
In 0.3691 0.4045 0.8573
In 0.0758 0.2990 0.5493

DFT formation energy	0.042	eV per atom
distance to the lowest polymorph of the same formula	0.0	meV/atom
magnetic moment	0.0	Bohr magnetons per cell
theoretical density	8.67	Mg/m³
crystal system	monoclinic

---

Record 20
La2MgRuC | PBE | optimized geometry

abc: 5.3927 5.3927 3.9599
angles: 90.00 90.00 90.00
Atoms (fractional coordinates):
Mg 0.5000 0.5000 0.5000
C 0.0000 0.0000 0.0000
La 0.5000 0.0000 0.0000
La 0.0000 0.5000 0.0000
Ru 0.0000 0.0000 0.5000

DFT formation energy	-0.188	eV per atom
magnetic moment	0.0	Bohr magnetons per cell
theoretical density	5.99	Mg/m³
crystal system	tetragonal